(1)
## NaHf2IO8 (PBE)

Data for a relaxed NaHf2IO8 crystal.

Unit cell a=4.797 b=4.797 c=6.570 alpha=90.00 beta=90.00 gamma=91.52
Element x y z (fractional)
Na  0.000  0.000  0.000
Hf  0.500  0.500  0.235
Hf  0.500  0.500  0.765
I  0.000  0.000  0.500
O  0.194  0.194  0.292
O  0.194  0.194  0.708
O  0.282  0.718  0.500
O  0.319  0.681  0.000
O  0.681  0.319  0.000
O  0.718  0.282  0.500
O  0.806  0.806  0.292
O  0.806  0.806  0.708

Properties
As for the uncorrected formation energy: -24.4 eV/f.u.

***

(2)
## Na2HfIO6 (PBE)

Data for a relaxed Na2HfIO6 crystal.

Unit cell a=5.656 b=5.656 c=5.656 alpha=59.62 beta=59.62 gamma=59.62
Element x y z (fractional)
Na  0.249  0.249  0.249
Na  0.751  0.751  0.751
Hf  0.500  0.500  0.500
I  0.000  0.000  0.000
O  0.168  0.322  0.756
O  0.244  0.832  0.678
O  0.322  0.756  0.168
O  0.678  0.244  0.832
O  0.756  0.168  0.322
O  0.832  0.678  0.244

Properties
As for the uncorrected formation energy: -16.9 eV/f.u.

***

(3)
## Rb2NaHfI6 (PBE)

Data for a relaxed Rb2NaHfI6 crystal.

Unit cell a=8.526 b=8.526 c=8.526 alpha=60.00 beta=60.00 gamma=60.00
Element x y z (fractional)
Rb  0.250  0.250  0.250
Rb  0.750  0.750  0.750
Na  0.000  0.000  0.000
Hf  0.500  0.500  0.500
I  0.260  0.260  0.740
I  0.260  0.740  0.260
I  0.260  0.740  0.740
I  0.740  0.260  0.260
I  0.740  0.260  0.740
I  0.740  0.740  0.260

Properties
As for the uncorrected formation energy: -11.0 eV/f.u. As for the energy above the most stable polymorph in this dataset: 0.011 eV per atom.

***

(4)
## RbNa2HfI8 (PBE)

Data for a relaxed RbNa2HfI8 crystal.

Unit cell a=6.782 b=7.626 c=10.384 alpha=90.02 beta=90.14 gamma=92.17
Element x y z (fractional)
Rb  0.000  0.000  0.000
Na  0.500  0.500  0.275
Na  0.500  0.500  0.725
Hf  0.000  0.000  0.500
I  0.238  0.320  0.499
I  0.239  0.857  0.304
I  0.240  0.858  0.696
I  0.248  0.483  0.000
I  0.752  0.517  0.000
I  0.760  0.142  0.304
I  0.761  0.143  0.696
I  0.762  0.680  0.501

Properties
As for the uncorrected formation energy: -11.9 eV/f.u.

***

(5)
## Rb2NaHfI6 (PBE)

Data for a relaxed Rb2NaHfI6 crystal.

Unit cell a=15.572 b=15.572 c=15.572 alpha=31.26 beta=31.26 gamma=31.26
Element x y z (fractional)
Rb  0.134  0.134  0.134
Rb  0.305  0.305  0.305
Rb  0.695  0.695  0.695
Rb  0.866  0.866  0.866
Na  0.416  0.416  0.416
Na  0.584  0.584  0.584
Hf  0.000  0.000  0.000
Hf  0.500  0.500  0.500
I  0.133  0.628  0.628
I  0.200  0.200  0.715
I  0.200  0.715  0.200
I  0.285  0.800  0.800
I  0.372  0.372  0.867
I  0.372  0.867  0.372
I  0.628  0.133  0.628
I  0.628  0.628  0.133
I  0.715  0.200  0.200
I  0.800  0.285  0.800
I  0.800  0.800  0.285
I  0.867  0.372  0.372

Properties
As for the uncorrected formation energy: -11.1 eV/f.u. As for the energy above the most stable polymorph in this dataset: 0.000 eV per atom.

***

(6)
## RbNaHfI6 (PBE)

Data for a relaxed RbNaHfI6 crystal.

Unit cell a=8.056 b=8.056 c=15.621 alpha=90.00 beta=90.00 gamma=120.00
Element x y z (fractional)
Rb  0.000  0.000  0.000
Rb  0.000  0.000  0.500
Na  0.333  0.667  0.250
Na  0.667  0.333  0.750
Hf  0.333  0.667  0.750
Hf  0.667  0.333  0.250
I  0.035  0.388  0.643
I  0.035  0.647  0.857
I  0.353  0.388  0.857
I  0.353  0.965  0.643
I  0.388  0.035  0.143
I  0.388  0.353  0.357
I  0.612  0.647  0.643
I  0.612  0.965  0.857
I  0.647  0.035  0.357
I  0.647  0.612  0.143
I  0.965  0.353  0.143
I  0.965  0.612  0.357

Properties
As for the uncorrected formation energy: -10.0 eV/f.u.